Record 1
meta-GGA SCAN YSb2, single point on PBEsol structure; magnetic moment = 0.000 μB/atom; E_form (uncorrected) = -0.787 eV/atom
1.0
6.107 0.008 0.012
-2.822 5.416 -0.012
-2.822 -1.998 5.034
Sb Y
4 2
Direct
0.500 0.163 0.337
0.500 0.837 0.663
0.827 0.663 0.163
0.173 0.337 0.837
0.000 0.250 0.250
0.000 0.750 0.750

Record 2
meta-GGA SCAN Fe3Pt, single point on PBEsol structure; ΔE_f = -93 kJ/mol of formula units; magnetic moment = 2.278 μB/atom
1.0
2.864 0.000 0.000
0.000 2.864 0.000
0.000 0.000 6.019
Pt Fe
1 3
Direct
0.500 0.500 0.000
0.000 0.000 0.275
0.000 0.000 0.725
0.500 0.500 0.500

Record 3
meta-GGA SCAN TaIrW2, single point on PBEsol structure; ΔE_f = 25 kJ/mol of formula units; magnetic moment = 0.000 μB/atom; excess energy over the best structure of this formula in the dataset = 147 meV per atom
1.0
4.462 0.000 0.000
2.231 3.864 0.000
2.231 1.288 3.643
Ir W Ta
1 2 1
Direct
0.000 0.000 0.000
0.250 0.250 0.250
0.750 0.750 0.750
0.500 0.500 0.500

Record 4
meta-GGA SCAN CuTe, single point on PBEsol structure; magnetic moment = 0.000 μB/atom; E_form (uncorrected) = -0.091 eV/atom
1.0
-2.884 0.149 -1.291
-0.478 -3.884 0.619
-2.719 1.327 6.227
Cu Te
2 2
Direct
0.500 0.000 0.538
0.000 0.500 0.462
0.000 0.000 0.223
0.500 0.500 0.777

Record 5
meta-GGA SCAN FeIrOs, single point on PBEsol structure; ΔE_f = -4 kJ/mol of formula units; magnetic moment = 0.730 μB/atom
1.0
2.663 0.000 0.000
0.000 3.694 0.000
-1.331 -1.847 3.945
Fe Ir Os
1 1 1
Direct
0.997 0.997 0.995
0.665 0.665 0.331
0.337 0.337 0.674

Record 6
meta-GGA SCAN Y2InSbTe, single point on PBEsol structure; magnetic moment = 0.000 μB/atom; E_form (uncorrected) = 0.012 eV/atom
1.0
5.144 0.000 0.000
0.000 5.750 0.000
0.000 0.000 5.750
Te Y Sb In
1 2 1 1
Direct
0.500 0.500 0.500
0.000 0.500 0.000
0.000 0.000 0.500
0.500 0.000 0.000
0.000 0.000 0.000

Record 7
meta-GGA SCAN Li3MnV4O12, single point on PBEsol structure; magnetic moment = 0.300 μB/atom; E_form (uncorrected) = -2.507 eV/atom
1.0
5.614 -0.036 -0.016
1.838 6.517 -0.145
1.819 0.085 6.524
O Li Mn V
12 3 1 4
Direct
0.862 0.886 0.366
0.639 0.634 0.114
0.024 0.598 0.660
0.372 0.025 0.220
0.128 0.124 0.633
0.128 0.780 0.975
0.663 0.960 0.801
0.984 0.394 0.324
0.516 0.676 0.606
0.372 0.367 0.876
0.837 0.199 0.040
0.476 0.340 0.402
0.250 0.108 0.892
0.750 0.222 0.778
0.250 0.782 0.218
0.750 0.906 0.094
0.734 0.397 0.211
0.235 0.216 0.403
0.265 0.597 0.784
0.766 0.789 0.603

Record 8
meta-GGA SCAN Nb2PbO6, single point on PBEsol structure; magnetic moment = 0.000 μB/atom; excess energy over the best structure of this formula in the dataset = 0 meV per atom; E_form (uncorrected) = -2.452 eV/atom
1.0
7.198 -0.023 -0.025
-0.475 7.182 -0.025
-0.475 -0.506 7.165
O Nb Pb
18 6 3
Direct
0.730 0.280 0.002
0.002 0.730 0.280
0.384 0.837 0.384
0.163 0.616 0.616
0.270 0.720 0.998
0.720 0.998 0.270
0.382 0.097 0.097
0.097 0.382 0.097
0.998 0.270 0.720
0.903 0.618 0.903
0.384 0.384 0.837
0.837 0.384 0.384
0.618 0.903 0.903
0.616 0.616 0.163
0.280 0.002 0.730
0.616 0.163 0.616
0.903 0.903 0.618
0.097 0.097 0.382
0.165 0.865 0.521
0.135 0.479 0.835
0.521 0.165 0.865
0.865 0.521 0.165
0.835 0.135 0.479
0.479 0.835 0.135
0.323 0.323 0.323
0.677 0.677 0.677
0.000 0.000 0.000

Record 9
meta-GGA SCAN TlCd4In, single point on PBEsol structure; ΔE_f = 42 kJ/mol of formula units; magnetic moment = 0.000 μB/atom
1.0
-1.399 -0.374 5.673
-3.904 -3.976 1.796
1.757 -4.613 3.150
Cd In Tl
4 1 1
Direct
0.375 0.375 0.375
0.375 0.375 0.875
0.875 0.375 0.375
0.375 0.875 0.375
0.750 0.750 0.750
0.000 0.000 0.000

Record 10
meta-GGA SCAN CaFeMo2, single point on PBEsol structure; ΔE_f = 298 kJ/mol of formula units; magnetic moment = 0.560 μB/atom; excess energy over the best structure of this formula in the dataset = 87 meV per atom
1.0
-1.085 -2.236 -0.850
4.993 -0.663 -1.259
-1.143 -0.571 5.335
Mo Fe Ca
2 1 1
Direct
0.500 0.500 0.500
0.000 0.000 0.500
0.000 0.500 0.000
0.500 0.000 0.000

Record 11
meta-GGA SCAN SiPSe2Br, single point on PBEsol structure; magnetic moment = 0.001 μB/atom; E_form (uncorrected) = 0.742 eV/atom
1.0
4.697 0.000 0.000
0.000 4.823 0.000
0.000 0.000 4.823
Se Br P Si
2 1 1 1
Direct
0.000 0.000 0.500
0.000 0.500 0.000
0.500 0.000 0.000
0.500 0.500 0.500
0.000 0.000 0.000

Record 12
meta-GGA SCAN AlRe2I, single point on PBEsol structure; magnetic moment = 0.000 μB/atom; E_form (uncorrected) = 1.183 eV/atom
1.0
-0.407 0.938 3.998
2.809 -2.867 0.959
5.331 7.106 -3.254
Re I Al
4 2 2
Direct
0.454 0.875 0.250
0.125 0.204 0.750
0.625 0.546 0.750
0.796 0.375 0.250
0.000 0.000 0.000
0.250 0.750 0.500
0.750 0.250 0.500
0.500 0.500 0.000

Record 13
meta-GGA SCAN Sr4TaSi, single point on PBEsol structure; magnetic moment = 0.761 μB/atom; E_form (uncorrected) = 1.270 eV/atom
1.0
6.498 0.000 0.000
3.249 5.627 0.000
3.249 1.876 5.305
Ta Sr Si
1 4 1
Direct
0.750 0.750 0.750
0.375 0.375 0.875
0.375 0.375 0.375
0.375 0.875 0.375
0.875 0.375 0.375
0.000 0.000 0.000

Record 14
meta-GGA SCAN ScPtIN2, single point on PBEsol structure; magnetic moment = 0.697 μB/atom; E_form (uncorrected) = 0.876 eV/atom
1.0
-2.467 -1.302 -2.842
-1.985 -2.143 2.706
-3.675 4.708 1.033
I Sc N Pt
1 1 2 1
Direct
0.000 0.000 0.500
0.000 0.000 0.000
0.500 0.000 0.000
0.000 0.500 0.000
0.500 0.500 0.500

Record 15
meta-GGA SCAN ReAsW2, single point on PBEsol structure; ΔE_f = 103 kJ/mol of formula units; magnetic moment = 0.000 μB/atom
1.0
-0.724 2.370 -1.562
-2.641 -1.153 -0.525
-2.482 3.055 5.785
Re W As
1 2 1
Direct
0.500 0.500 0.500
0.000 0.000 0.756
0.000 0.000 0.244
0.500 0.500 0.000

Record 16
meta-GGA SCAN Cu2SiO, single point on PBEsol structure; magnetic moment = 0.085 μB/atom; E_form (uncorrected) = 0.323 eV/atom
1.0
3.994 0.000 0.000
1.997 3.459 0.000
1.997 1.153 3.261
Cu O Si
2 1 1
Direct
0.750 0.750 0.750
0.250 0.250 0.250
0.000 0.000 0.000
0.500 0.500 0.500

Record 17
meta-GGA SCAN LiCu2, single point on PBEsol structure; ΔE_f = -3 kJ/mol of formula units; magnetic moment = 0.000 μB/atom
1.0
2.537 0.000 0.000
-1.269 2.197 0.000
0.000 0.000 6.316
Cu Li
2 1
Direct
0.333 0.667 0.337
0.667 0.333 0.663
0.000 0.000 0.000

Record 18
meta-GGA SCAN SrSbAs, single point on PBEsol structure; magnetic moment = 0.000 μB/atom; excess energy over the best structure of this formula in the dataset = 0 meV per atom; E_form (uncorrected) = -0.839 eV/atom
1.0
4.251 0.000 0.000
0.000 4.421 -0.009
0.000 -2.012 8.937
Sb As Sr
2 2 2
Direct
0.250 0.780 0.511
0.750 0.220 0.489
0.250 0.034 0.077
0.750 0.966 0.923
0.750 0.591 0.198
0.250 0.409 0.802

Record 19
meta-GGA SCAN BaGeSeN2, single point on PBEsol structure; magnetic moment = 0.366 μB/atom; E_form (uncorrected) = 1.602 eV/atom
1.0
-2.889 -0.223 3.276
-2.823 -2.059 -2.630
2.461 -5.654 1.785
N Ge Ba Se
2 1 1 1
Direct
0.500 0.000 0.000
0.000 0.500 0.000
0.500 0.500 0.500
0.000 0.000 0.000
0.000 0.000 0.500

Record 20
meta-GGA SCAN Al2CrHg, single point on PBEsol structure; ΔE_f = 44 kJ/mol of formula units; magnetic moment = 0.567 μB/atom
1.0
-0.110 2.153 -1.945
-2.555 1.178 -0.719
0.015 7.048 5.633
Al Hg Cr
2 1 1
Direct
0.760 0.760 0.719
0.240 0.240 0.281
0.000 0.000 0.000
0.500 0.500 0.500

Record 21
meta-GGA SCAN Mg2NbOsBr, single point on PBEsol structure; magnetic moment = 0.000 μB/atom; E_form (uncorrected) = 1.211 eV/atom
1.0
-1.553 -4.224 -0.632
4.054 -1.996 3.380
-3.419 0.592 4.451
Br Os Mg Nb
1 1 2 1
Direct
0.500 0.500 0.500
0.500 0.000 0.000
0.000 0.500 0.000
0.000 0.000 0.500
0.000 0.000 0.000

Record 22
meta-GGA SCAN CrNi5, single point on PBEsol structure; ΔE_f = 42 kJ/mol of formula units; magnetic moment = 0.905 μB/atom
1.0
-1.953 1.043 -1.066
-1.755 -2.576 3.528
1.377 5.069 2.440
Ni Cr
5 1
Direct
0.390 0.781 0.275
0.335 0.669 0.671
0.053 0.106 0.613
0.721 0.443 0.942
0.666 0.332 0.332
0.001 0.002 0.001

Record 23
meta-GGA SCAN Cd2GaWBr, single point on PBEsol structure; magnetic moment = 0.681 μB/atom; E_form (uncorrected) = 0.894 eV/atom
1.0
-1.380 -2.266 -4.226
5.077 0.241 -1.787
1.016 -4.794 2.239
Ga Cd W Br
1 2 1 1
Direct
0.500 0.000 0.000
0.000 0.500 0.000
0.000 0.000 0.500
0.000 0.000 0.000
0.500 0.500 0.500

Record 24
meta-GGA SCAN CaLaMn2Mo, single point on PBEsol structure; ΔE_f = 294 kJ/mol of formula units; magnetic moment = 1.168 μB/atom
1.0
4.685 0.000 0.000
0.000 4.685 0.000
0.000 0.000 5.167
La Ca Mn Mo
1 1 2 1
Direct
0.500 0.500 0.500
0.000 0.000 0.500
0.000 0.500 0.000
0.500 0.000 0.000
0.000 0.000 0.000

Record 25
meta-GGA SCAN TaCr2Cd, single point on PBEsol structure; ΔE_f = 98 kJ/mol of formula units; magnetic moment = 1.130 μB/atom
1.0
-2.952 0.258 1.063
0.922 -1.059 2.817
1.138 5.714 1.775
Cr Cd Ta
2 1 1
Direct
0.000 0.000 0.217
0.000 0.000 0.783
0.500 0.500 0.500
0.500 0.500 0.000

Record 26
meta-GGA SCAN Li3Cu, single point on PBEsol structure; ΔE_f = 10 kJ/mol of formula units; magnetic moment = 0.000 μB/atom
1.0
3.897 0.000 0.000
0.000 4.014 0.000
-1.948 -2.007 3.715
Li Cu
3 1
Direct
0.500 0.000 0.000
0.251 0.251 0.503
0.749 0.749 0.497
0.000 0.500 0.000

Record 27
meta-GGA SCAN KLa2Rh, single point on PBEsol structure; ΔE_f = -95 kJ/mol of formula units; magnetic moment = 0.000 μB/atom; excess energy over the best structure of this formula in the dataset = 192 meV per atom
1.0
-3.211 1.991 -1.119
-2.385 -3.036 1.440
0.893 5.687 7.560
La K Rh
2 1 1
Direct
0.000 0.101 0.077
0.500 0.739 0.353
0.500 0.418 0.714
0.000 0.241 0.356

no.,D(E_F) (states/eV per cell)
1,2.09
2,2.29
3,3.82
4,1.27
5,2.48
6,4.39
7,5.77
8,0.00
9,2.45
10,4.17
11,2.74
12,6.12
13,3.62
14,2.75
15,2.69
16,1.85
17,1.05
18,2.13
19,2.87
20,2.35
21,4.18
22,7.17
23,3.00
24,4.02
25,2.95
26,1.44
27,2.98